Material: LiPOs3
Method: DFT, PBE
State: optimized geometry

Results
The density of states at the Fermi level is 0.965 states/eV/atom. Its formation energy is 0.847 eV/atom. The magnetization is 0.28 μB per atom. For the excess energy over the best structure of this formula in the dataset, the calculation gives 0.000 eV per atom.

Unit cell a=4.363 b=4.363 c=4.363 alpha=90.00 beta=90.00 gamma=90.00
Last column: magnetic moment on the atom in μB.
Fractional coordinates of all 5 atoms:
Os1 0.000 0.000 0.500  0.36
Os2 0.000 0.500 0.000  0.50
Os3 0.500 0.000 0.000  0.49
P1 0.000 0.000 0.000  -0.01
Li1 0.500 0.500 0.500  -0.01

Material: Er3BSe6
Method: DFT, PBE
State: optimized geometry

Results
The density of states at the Fermi level is 0.000 states/eV/atom. The energy relative to the elements, uncorrected is -13.7 eV/f.u. The magnetization is 0.00 μB per atom.

Unit cell a=6.531 b=8.750 c=8.750 alpha=102.00 beta=90.00 gamma=90.00
Fractional coordinates of all 20 atoms:
B1 0.536 0.803 0.197
B2 0.036 0.197 0.803
Er1 0.490 0.282 0.082
Er2 0.990 0.082 0.282
Er3 0.376 0.404 0.596
Er4 0.990 0.718 0.918
Er5 0.876 0.596 0.404
Er6 0.490 0.918 0.718
Se1 0.681 0.627 0.700
Se2 0.657 0.948 0.052
Se3 0.717 0.209 0.791
Se4 0.157 0.052 0.948
Se5 0.679 0.893 0.412
Se6 0.681 0.300 0.373
Se7 0.179 0.412 0.893
Se8 0.181 0.700 0.627
Se9 0.179 0.107 0.588
Se10 0.217 0.791 0.209
Se11 0.679 0.588 0.107
Se12 0.181 0.373 0.300

Material: LaTb2Er2
Method: DFT, PBE
State: optimized geometry

Results
The density of states at the Fermi level is 1.182 states/eV/atom. Its formation energy is 0.076 eV/atom. The magnetization is 0.00 μB per atom. For the excess energy over the best structure of this formula in the dataset, the calculation gives 0.000 eV per atom.

Unit cell a=9.440 b=9.440 c=3.736 alpha=90.00 beta=90.00 gamma=90.00
Fractional coordinates of all 10 atoms:
Tb1 0.875 0.375 0.000
Tb2 0.125 0.625 0.000
Tb3 0.625 0.875 0.000
Tb4 0.375 0.125 0.000
Er1 0.829 0.671 0.500
Er2 0.171 0.329 0.500
Er3 0.671 0.171 0.500
Er4 0.329 0.829 0.500
La1 0.500 0.500 0.000
La2 0.000 0.000 0.000